1.
The following is a PBE calculation of a geometry-optimized NaCu6 structure, from the Alexandria database.

Computed properties:
Crystal system: cubic
D(E_F): 2.37 states/eV per cell
Total moment: 0.00 μB/f.u.
Energy of formation: 0.61 eV/atom

Structure (extended XYZ):
```
7
Lattice="-3.269 3.269 3.269 3.269 -3.269 3.269 3.269 3.269 -3.269" Properties=species:S:1:pos:R:3 pbc="T T T"
Na 0.000 0.000 0.000
Cu 3.269 1.634 0.000
Cu 3.269 0.000 1.634
Cu 1.634 3.269 0.000
Cu 1.634 0.000 3.269
Cu 0.000 3.269 1.634
Cu 0.000 1.634 3.269
```

2.
The following is a PBE calculation of a geometry-optimized NaCu structure, from the Alexandria database.

Computed properties:
Crystal system: cubic
D(E_F): 0.35 states/eV per cell
Total moment: 0.00 μB/f.u.
Energy of formation: 0.59 eV/atom

Structure (extended XYZ):
```
2
Lattice="0.000 2.927 2.927 2.927 0.000 2.927 2.927 2.927 0.000" Properties=species:S:1:pos:R:3 pbc="T T T"
Na 0.000 0.000 0.000
Cu 2.927 2.927 2.927
```

3.
The following is a PBE calculation of a geometry-optimized NaNb2Cu2 structure, from the Alexandria database.

Computed properties:
Crystal system: tetragonal
D(E_F): 5.53 states/eV per cell
Total moment: 0.00 μB/f.u.
Energy of formation: 0.33 eV/atom

Structure (extended XYZ):
```
10
Lattice="8.139 0.000 0.000 0.000 8.139 0.000 0.000 0.000 2.633" Properties=species:S:1:pos:R:3 pbc="T T T"
Na 0.000 0.000 0.000
Na 4.069 4.069 0.000
Nb 1.007 3.063 0.000
Nb 3.063 7.132 0.000
Nb 5.076 1.007 0.000
Nb 7.132 5.076 0.000
Cu 1.386 5.455 1.316
Cu 2.683 1.386 1.316
Cu 5.455 6.752 1.316
Cu 6.752 2.683 1.316
```

4.
The following is a PBE calculation of a geometry-optimized NaNb4Cu3O12 structure, from the Alexandria database.

Computed properties:
Crystal system: cubic
D(E_F): 5.17 states/eV per cell
Energy relative to the elements, uncorrected: -1.962 eV/atom
Total moment: 0.00 μB/f.u.

Structure (extended XYZ):
```
20
Lattice="-3.847 3.847 3.847 3.847 -3.847 3.847 3.847 3.847 -3.847" Properties=species:S:1:pos:R:3 pbc="T T T"
Na 0.000 0.000 0.000
Nb 1.923 1.923 -1.923
Nb 1.923 -1.923 1.923
Nb -1.923 1.923 1.923
Nb 1.923 1.923 1.923
Cu 3.847 0.000 0.000
Cu 0.000 3.847 0.000
Cu 0.000 0.000 3.847
O 3.847 2.447 -1.522
O 2.325 0.000 1.400
O 5.368 0.000 1.400
O 1.400 2.325 0.000
O 2.447 -1.522 3.847
O 0.000 1.400 2.325
O 3.847 2.447 1.522
O 1.400 5.368 0.000
O 2.447 1.522 3.847
O -1.522 3.847 2.447
O 1.522 3.847 2.447
O 0.000 1.400 5.368
```

5.
The following is a PBE calculation of a geometry-optimized Na2NbCu2O6 structure, from the Alexandria database.

Computed properties:
Crystal system: trigonal
D(E_F): 5.18 states/eV per cell
Energy relative to the elements, uncorrected: -1.409 eV/atom
Total moment: 3.00 μB/f.u.

Structure (extended XYZ):
```
11
Lattice="5.232 0.000 0.000 -2.616 4.531 0.000 0.000 0.000 5.614" Properties=species:S:1:pos:R:3 pbc="T T T"
Na 0.000 3.021 0.000
Na 2.616 1.510 0.000
Nb 0.000 0.000 2.807
Cu 0.000 3.021 2.807
Cu 2.616 1.510 2.807
O -0.854 1.480 1.699
O -1.762 3.051 3.915
O 1.709 0.000 1.699
O 0.854 1.480 3.915
O 3.523 0.000 3.915
O 1.762 3.051 1.699
```

6.
The following is a PBE calculation of a geometry-optimized NaTi3NbCu3O12 structure, from the Alexandria database.

Computed properties:
Crystal system: trigonal
D(E_F): 2.75 states/eV per cell
Energy relative to the elements, uncorrected: -2.079 eV/atom
Total moment: 2.95 μB/f.u.

Structure (extended XYZ):
```
20
Lattice="5.309 3.065 2.159 -5.309 3.065 2.159 0.000 -6.130 2.159" Properties=species:S:1:pos:R:3 pbc="T T T"
Na 0.000 0.000 0.000
Ti -5.309 0.000 3.239
Ti -2.654 1.532 1.080
Ti 2.654 1.532 1.080
Nb 0.000 0.000 3.239
Cu -2.654 -1.532 2.159
Cu -2.654 1.532 4.319
Cu 0.000 3.065 2.159
O -0.955 -3.694 2.707
O -1.641 0.153 2.087
O -3.677 -1.020 3.771
O 0.688 -1.498 2.087
O -2.722 2.674 2.707
O 0.953 1.345 2.087
O -0.953 -1.345 4.391
O 2.722 -2.674 3.771
O -0.688 1.498 4.391
O 3.677 1.020 2.707
O 1.641 -0.153 4.391
O 0.955 3.694 3.771
```